An optimized crystal structure of SrLuCuS3, computed with GGA-PBEsol.

Properties
**ΔE_f (raw)**: -10.46 eV/f.u.
**E**: -5.78 eV/atom

Geometry as CIF:
```
data_SrLuCuS3
_cell_length_a 3.8396
_cell_length_b 12.7979
_cell_length_c 9.8679
_cell_angle_alpha 90.00
_cell_angle_beta 90.00
_cell_angle_gamma 90.00
_symmetry_space_group_name_H-M 'C m c m'
_symmetry_Int_Tables_number 63
_symmetry_space_group_name_Hall '-C 2c 2'
loop_
_atom_site_label
_atom_site_type_symbol
_atom_site_fract_x
_atom_site_fract_y
_atom_site_fract_z
Sr1 Sr 0.0000 0.2485 0.2500
Lu1 Lu 0.0000 0.5000 0.0000
Cu1 Cu 0.0000 0.0281 0.7500
S1 S 0.0000 0.1361 0.5640
S2 S 0.0000 0.4252 0.7500
```

An optimized crystal structure of LuCuSb2, computed with GGA-PBEsol.

Properties
**ΔE_f (raw)**: -2.26 eV/f.u.
**E**: -5.15 eV/atom

Geometry as CIF:
```
data_LuCuSb2
_cell_length_a 4.2400
_cell_length_b 4.2400
_cell_length_c 9.4014
_cell_angle_alpha 90.00
_cell_angle_beta 90.00
_cell_angle_gamma 90.00
_symmetry_space_group_name_H-M 'P 4/n m m'
_symmetry_Int_Tables_number 129
loop_
_symmetry_equiv_pos_as_xyz
'x,y,z'
'-x,-y,-z'
'-y+1/2,x,z'
'y+1/2,-x,-z'
'-x+1/2,-y+1/2,z'
'x+1/2,y+1/2,-z'
'y,-x+1/2,z'
'-y,x+1/2,-z'
'x+1/2,-y,-z'
'-x+1/2,y,z'
'-y,-x,-z'
'y,x,z'
'-x,y+1/2,-z'
'x,-y+1/2,z'
'y+1/2,x+1/2,-z'
'-y+1/2,-x+1/2,z'
loop_
_atom_site_label
_atom_site_type_symbol
_atom_site_fract_x
_atom_site_fract_y
_atom_site_fract_z
Lu1 Lu 0.2500 0.2500 0.2487
Cu1 Cu 0.2500 0.7500 0.0000
Sb1 Sb 0.2500 0.2500 0.8329
Sb2 Sb 0.2500 0.7500 0.5000
```